An optimized crystal structure of Li2MgZnN, computed with GGA-PBE.

Structure (CIF):
```
data_Li2MgZnN
_cell_length_a 4.892
_cell_length_b 4.892
_cell_length_c 4.774
_cell_angle_alpha 90.00
_cell_angle_beta 90.00
_cell_angle_gamma 90.00
_space_group_name_H-M_alt 'P 4/m m m'
_space_group_IT_number 123
_space_group_name_Hall '-P 4 2'
loop_
_atom_site_label
_atom_site_type_symbol
_atom_site_fract_x
_atom_site_fract_y
_atom_site_fract_z
_atom_site_occupancy
Li1 Li 0.000 0.500 0.000 1
Mg1 Mg 0.000 0.000 0.000 1
Zn1 Zn 0.000 0.000 0.500 1
N1 N 0.500 0.500 0.500 1
```

The energy above the most stable polymorph in this dataset comes out at 1.683 eV/atom. The formation energy without anion corrections is 7.31 eV/f.u. As for the crystal system: tetragonal. For the total energy, the calculation gives -1.5432 eV/atom. The calculation puts the volume at 114.24 Å³ per cell.


An optimized crystal structure of Li2MgZnN, computed with GGA-PBE.

Structure (CIF):
```
data_Li2MgZnN
_cell_length_a 4.147
_cell_length_b 4.147
_cell_length_c 4.133
_cell_angle_alpha 90.00
_cell_angle_beta 90.00
_cell_angle_gamma 90.00
_space_group_name_H-M_alt 'P 4/m m m'
_space_group_IT_number 123
_space_group_name_Hall '-P 4 2'
loop_
_atom_site_label
_atom_site_type_symbol
_atom_site_fract_x
_atom_site_fract_y
_atom_site_fract_z
_atom_site_occupancy
Li1 Li 0.000 0.500 0.000 1
Mg1 Mg 0.000 0.000 0.500 1
Zn1 Zn 0.500 0.500 0.500 1
N1 N 0.000 0.000 0.000 1
```

The energy above the most stable polymorph in this dataset comes out at 0.000 eV/atom. The formation energy without anion corrections is -1.11 eV/f.u. As for the crystal system: tetragonal. For the total energy, the calculation gives -3.2266 eV/atom. The calculation puts the volume at 71.09 Å³ per cell.


An optimized crystal structure of NaLi2Mg2, computed with GGA-PBE.

Structure (CIF):
```
data_NaLi2Mg2
_cell_length_a 8.608
_cell_length_b 8.608
_cell_length_c 3.256
_cell_angle_alpha 90.00
_cell_angle_beta 90.00
_cell_angle_gamma 90.00
_space_group_name_H-M_alt 'P 4/m b m'
_space_group_IT_number 127
_space_group_name_Hall '-P 4 2ab'
loop_
_atom_site_label
_atom_site_type_symbol
_atom_site_fract_x
_atom_site_fract_y
_atom_site_fract_z
_atom_site_occupancy
Na1 Na 0.000 0.000 0.000 1
Li1 Li 0.165 0.335 0.500 1
Mg1 Mg 0.129 0.629 0.000 1
```

The energy above the most stable polymorph in this dataset comes out at 0.000 eV/atom. The formation energy from the elements is 0.2 eV/f.u. As for the crystal system: tetragonal. For the total energy, the calculation gives -1.6362 eV/atom. The calculation puts the volume at 241.28 Å³ per cell.